Computed, not measured: crystalline HfGaTc at its relaxed geometry at the GGA-PBE level of DFT. Values from VASP.

The calculated formation energy comes out at -0.20 eV/atom. The value obtained for the relative energy among the computed polymorphs is 261.3 meV/atom.

The structure in Quantum ESPRESSO input format:
```
&SYSTEM
  ibrav = 0, nat = 3, ntyp = 3
/
ATOMIC_SPECIES
Hf 178.49 Hf.upf
Tc 98.00 Tc.upf
Ga 69.72 Ga.upf
ATOMIC_POSITIONS crystal
Hf 0.647 0.667 0.333
Tc 0.198 0.333 0.667
Ga 0.155 0.000 0.000
CELL_PARAMETERS angstrom
3.216 0.000 0.000
0.000 4.345 0.000
0.000 -2.172 3.763
```



Computed, not measured: crystalline CuSe2Br8 at its relaxed geometry at the GGA-PBE level of DFT. Values from VASP.

The value obtained for the energy relative to the elements, uncorrected is -80 meV/atom.

The structure in Quantum ESPRESSO input format:
```
&SYSTEM
  ibrav = 0, nat = 11, ntyp = 3
/
ATOMIC_SPECIES
Cu 63.55 Cu.upf
Se 78.96 Se.upf
Br 79.90 Br.upf
ATOMIC_POSITIONS crystal
Cu 0.000 0.000 0.000
Se 0.406 0.193 0.193
Se 0.594 0.807 0.807
Br 0.834 0.116 0.740
Br 0.166 0.260 0.884
Br 0.701 0.251 0.251
Br 0.299 0.749 0.749
Br 0.834 0.740 0.116
Br 0.166 0.884 0.260
Br 0.228 0.340 0.340
Br 0.772 0.660 0.660
CELL_PARAMETERS angstrom
-3.073 -4.283 5.295
5.255 -6.101 -1.226
6.543 0.460 4.829
```



Computed, not measured: crystalline TbZrSe3 at its relaxed geometry at the GGA-PBE level of DFT. Values from VASP.

The value obtained for the energy relative to the elements, uncorrected is -1501 meV/atom.

The structure in Quantum ESPRESSO input format:
```
&SYSTEM
  ibrav = 0, nat = 20, ntyp = 3
/
ATOMIC_SPECIES
Tb 158.93 Tb.upf
Zr 91.22 Zr.upf
Se 78.96 Se.upf
ATOMIC_POSITIONS crystal
Tb 0.250 0.979 0.339
Tb 0.750 0.021 0.661
Tb 0.750 0.521 0.839
Tb 0.250 0.479 0.161
Zr 0.250 0.659 0.539
Zr 0.750 0.341 0.461
Zr 0.750 0.841 0.039
Zr 0.250 0.159 0.961
Se 0.750 0.198 0.288
Se 0.250 0.654 0.971
Se 0.250 0.007 0.125
Se 0.250 0.507 0.375
Se 0.250 0.154 0.529
Se 0.750 0.493 0.625
Se 0.250 0.302 0.788
Se 0.750 0.993 0.875
Se 0.750 0.346 0.029
Se 0.750 0.698 0.212
Se 0.750 0.846 0.471
Se 0.250 0.802 0.712
CELL_PARAMETERS angstrom
-1.038 -2.010 3.201
-0.896 -7.482 -4.988
13.229 -3.134 2.324
```



Computed, not measured: crystalline Ho2AlPd3 at its relaxed geometry at the GGA-PBE level of DFT. Values from VASP.

The calculated formation energy comes out at -0.89 eV/atom. The value obtained for the relative energy among the computed polymorphs is 0.0 meV/atom.

The structure in Quantum ESPRESSO input format:
```
&SYSTEM
  ibrav = 0, nat = 6, ntyp = 3
/
ATOMIC_SPECIES
Ho 164.93 Ho.upf
Al 26.98 Al.upf
Pd 106.42 Pd.upf
ATOMIC_POSITIONS crystal
Ho 0.371 0.371 0.371
Ho 0.629 0.629 0.629
Al 0.000 0.000 0.000
Pd 0.000 0.000 0.500
Pd 0.500 0.000 0.000
Pd 0.000 0.500 0.000
CELL_PARAMETERS angstrom
4.851 0.201 2.042
1.430 4.639 2.042
0.261 0.201 5.256
```



Computed, not measured: crystalline La2ZrSb3Pd4 at its relaxed geometry at the GGA-PBE level of DFT. Values from VASP.

The value obtained for the energy relative to the elements, uncorrected is -882 meV/atom.

The structure in Quantum ESPRESSO input format:
```
&SYSTEM
  ibrav = 0, nat = 10, ntyp = 4
/
ATOMIC_SPECIES
La 138.91 La.upf
Zr 91.22 Zr.upf
Sb 121.76 Sb.upf
Pd 106.42 Pd.upf
ATOMIC_POSITIONS crystal
La 0.500 0.000 0.228
La 0.000 0.500 0.772
Zr 0.500 0.500 0.500
Sb 0.000 0.000 0.500
Sb 0.500 0.000 0.868
Sb 0.000 0.500 0.132
Pd 0.500 0.500 0.000
Pd 0.000 0.000 0.000
Pd 0.500 0.000 0.635
Pd 0.000 0.500 0.365
CELL_PARAMETERS angstrom
4.517 0.000 0.000
0.000 4.517 0.000
0.000 0.000 11.294
```



Computed, not measured: crystalline CeMnH6 at its relaxed geometry at the GGA-PBE level of DFT. Values from VASP.

The value obtained for the relative energy among the computed polymorphs is 0.0 meV/atom.

The structure in Quantum ESPRESSO input format:
```
&SYSTEM
  ibrav = 0, nat = 16, ntyp = 3
/
ATOMIC_SPECIES
Ce 140.12 Ce.upf
Mn 54.94 Mn.upf
H 1.01 H.upf
ATOMIC_POSITIONS crystal
Ce 0.301 0.000 0.250
Ce 0.699 0.000 0.750
Mn 0.000 0.500 0.500
Mn 0.500 0.500 0.000
H 0.839 0.071 0.395
H 0.232 0.071 0.895
H 0.170 0.458 0.673
H 0.288 0.458 0.173
H 0.161 0.929 0.605
H 0.768 0.929 0.105
H 0.613 0.359 0.563
H 0.745 0.359 0.063
H 0.830 0.542 0.327
H 0.712 0.542 0.827
H 0.387 0.641 0.437
H 0.255 0.641 0.937
CELL_PARAMETERS angstrom
-3.002 -3.044 -1.094
1.955 2.426 -3.215
5.011 -5.564 1.728
```